(1)
The following is a DFT calculation (PBE) of a relaxed structure of K2PrIrO4.

Output
**Symmetry**: I-4
**Uncorrected formation energy**: -1.637 eV per atom
**Electronic total energy**: -48.8 eV per cell
**Magnetization**: 2.00 Bohr magnetons per cell
**Calculated volume**: 142 Å³/f.u.

Unit cell a=5.7110 b=5.7110 c=5.7110 alpha=102.34 beta=113.15 gamma=113.15
Last column: nearest neighbours and their distance in Å.
Sites, in units of the cell vectors:
1 O 0.8888 0.6214 0.1944  1 Ir 1.98
2 O 0.5729 0.2674 0.3786  1 Ir 1.98
3 Ir 0.0000 0.5000 0.5000  4 O 1.98
4 Pr 0.5000 0.2500 0.7500  4 O 2.33
5 K 0.0000 0.0000 0.0000  4 O 2.61
6 K 0.5000 0.7500 0.2500  4 O 2.70
7 O 0.1112 0.3056 0.7326  1 Ir 1.98
8 O 0.4271 0.8056 0.6944  1 Ir 1.98

=====

(2)
The following is a DFT calculation (PBE) of a relaxed structure of NaLa2C.

Output
**Symmetry**: R-3m
**Electronic total energy**: -20.6 eV per cell
**Magnetization**: 0.00 Bohr magnetons per cell
**Formation energy from the elements**: -0.055 eV per atom
**Calculated volume**: 125 Å³/f.u.

Unit cell a=3.7003 b=3.7003 c=10.7811 alpha=80.12 beta=80.12 gamma=60.00
Last column: nearest neighbours and their distance in Å.
Sites, in units of the cell vectors:
1 La 0.1211 0.1211 0.6367  3 C 2.58
2 C 0.5000 0.5000 0.5000  6 La 2.58
3 La 0.8789 0.8789 0.3633  3 C 2.58
4 Na 0.0000 0.0000 0.0000  6 Na 3.70, 2 La 3.84

=====

(3)
The following is a DFT calculation (PBE) of a relaxed structure of Ba5InSe6.

Output
**Symmetry**: C2/m
**Uncorrected formation energy**: -1.713 eV per atom
**Electronic total energy**: -53.8 eV per cell
**Magnetization**: 0.00 Bohr magnetons per cell
**Calculated volume**: 430 Å³/f.u.

Unit cell a=8.0753 b=8.0777 c=8.0789 alpha=60.00 beta=80.43 gamma=70.57
Last column: nearest neighbours and their distance in Å.
Sites, in units of the cell vectors:
1 Ba 0.5000 0.1659 0.6681  6 Se 3.29-3.40
2 Ba 0.5000 0.5000 0.0000  6 Se 3.29-3.40
3 Ba 0.0000 0.6670 0.6661  6 Se 3.31
4 Ba 0.0000 0.3330 0.3339  6 Se 3.31
5 Se 0.7556 0.4042 0.6776  1 In 3.20, 5 Ba 3.29-3.40
6 Se 0.7569 0.7590 0.0000  1 In 3.19, 5 Ba 3.29-3.40
7 Se 0.2444 0.9182 0.6776  1 In 3.20, 5 Ba 3.29-3.40
8 Ba 0.5000 0.8341 0.3319  6 Se 3.29-3.40
9 Se 0.7556 0.0818 0.3224  1 In 3.20, 5 Ba 3.29-3.40
10 In 0.0000 0.0000 0.0000  6 Se 3.19-3.20
11 Se 0.2431 0.2410 0.0000  1 In 3.19, 5 Ba 3.29-3.40
12 Se 0.2444 0.5958 0.3224  1 In 3.20, 5 Ba 3.29-3.40

=====

(4)
The following is a DFT calculation (PBE) of a relaxed structure of Pr3Tm2Mg3.

Output
**Symmetry**: Immm
**Electronic total energy**: -28.6 eV per cell
**Magnetization**: 0.00 Bohr magnetons per cell
**Formation energy from the elements**: -0.069 eV per atom
**Calculated volume**: 240 Å³/f.u.

Unit cell a=3.7900 b=5.5760 c=11.8408 alpha=103.62 beta=99.21 gamma=90.00
Last column: nearest neighbours and their distance in Å.
Sites, in units of the cell vectors:
1 Mg 0.8792 0.8792 0.7583  2 Tm 3.24, 6 Pr 3.33-3.37
2 Mg 0.0000 0.5000 0.0000  8 Pr 3.37-3.45
3 Pr 0.3729 0.3729 0.7458  6 Mg 3.37-3.45, 4 Tm 3.63-3.73
4 Mg 0.1208 0.1208 0.2417  2 Tm 3.24, 6 Pr 3.33-3.37
5 Pr 0.5000 0.0000 0.0000  8 Mg 3.33-3.37
6 Tm 0.7365 0.2365 0.4730  2 Mg 3.24, 4 Tm 3.43
7 Pr 0.6271 0.6271 0.2542  6 Mg 3.37-3.45, 4 Tm 3.63-3.73
8 Tm 0.2635 0.7635 0.5270  2 Mg 3.24, 4 Tm 3.43

=====

(5)
The following is a DFT calculation (PBE) of a relaxed structure of Li3Np2TiTe6.

Output
**Symmetry**: C2/m
**Uncorrected formation energy**: -0.783 eV per atom
**Electronic total energy**: -67.8 eV per cell
**Magnetization**: 9.00 Bohr magnetons per cell
**Calculated volume**: 328 Å³/f.u.

Unit cell a=7.3234 b=7.3234 c=7.4651 alpha=99.43 beta=99.43 gamma=120.00
Last column: nearest neighbours and their distance in Å.
Sites, in units of the cell vectors:
1 Li 0.1711 0.8289 0.5000  6 Te 2.95-3.08
2 Li 0.5000 0.5000 0.5000  6 Te 2.94-3.13
3 Np 0.6666 0.3334 0.0000  6 Te 3.08-3.09
4 Te 0.3977 0.0843 0.2527  1 Ti 2.91, 3 Li 2.94-3.08, 2 Np 3.08-3.09
5 Li 0.8289 0.1711 0.5000  6 Te 2.95-3.08
6 Np 0.3334 0.6666 0.0000  6 Te 3.08-3.09
7 Te 0.2290 0.2290 0.7493  1 Ti 2.89, 3 Li 2.99-3.13, 2 Np 3.08
8 Te 0.9157 0.6023 0.7473  1 Ti 2.91, 3 Li 2.94-3.08, 2 Np 3.08-3.09
9 Ti 0.0000 0.0000 0.0000  6 Te 2.89-2.91
10 Te 0.6023 0.9157 0.7473  1 Ti 2.91, 3 Li 2.94-3.08, 2 Np 3.08-3.09
11 Te 0.7710 0.7710 0.2507  1 Ti 2.89, 3 Li 2.99-3.13, 2 Np 3.08
12 Te 0.0843 0.3977 0.2527  1 Ti 2.91, 3 Li 2.94-3.08, 2 Np 3.08-3.09

=====

(6)
The following is a DFT calculation (PBE) of a relaxed structure of Cd2CoPb.

Output
**Symmetry**: Pmmm
**Electronic total energy**: -11.0 eV per cell
**Magnetization**: 1.21 Bohr magnetons per cell
**Formation energy from the elements**: 0.417 eV per atom
**Calculated volume**: 83 Å³/f.u.

Unit cell a=3.4905 b=4.5205 c=5.2661 alpha=90.00 beta=90.00 gamma=90.00
Last column: nearest neighbours and their distance in Å.
Sites, in units of the cell vectors:
1 Pb 0.0000 0.5000 0.5000  4 Co 2.86, 4 Cd 3.16
2 Cd 0.5000 0.5000 0.0000  4 Cd 2.86, 4 Pb 3.16
3 Cd 0.0000 0.0000 0.0000  4 Cd 2.86, 4 Co 3.16
4 Co 0.5000 0.0000 0.5000  4 Pb 2.86, 4 Cd 3.16

=====

(7)
The following is a DFT calculation (PBE) of a relaxed structure of Ca3TlP.

Output
**Symmetry**: P4mm
**Electronic total energy**: -15.3 eV per cell
**Magnetization**: 0.00 Bohr magnetons per cell
**Formation energy from the elements**: -0.306 eV per atom
**Calculated volume**: 175 Å³/f.u.

Unit cell a=4.5758 b=4.5758 c=8.3688 alpha=90.00 beta=90.00 gamma=90.00
Last column: nearest neighbours and their distance in Å.
Sites, in units of the cell vectors:
1 Ca 0.5000 0.0000 0.5979  2 P 2.90, 4 Ca 3.24
2 Tl 0.0000 0.0000 0.3145  5 Ca 3.11-3.30
3 Ca 0.0000 0.0000 0.9428  1 Tl 3.11, 4 P 3.42
4 Ca 0.0000 0.5000 0.5979  2 P 2.90, 4 Ca 3.24
5 P 0.5000 0.5000 0.8106  4 Ca 2.90

=====

(8)
The following is a DFT calculation (PBE) of a relaxed structure of Co6CuRh.

Output
**Symmetry**: Cmmm
**Electronic total energy**: -213.7 eV per cell
**Magnetization**: 44.64 Bohr magnetons per cell
**Formation energy from the elements**: 0.081 eV per atom
**Calculated volume**: 93 Å³/f.u.

Unit cell a=6.2275 b=6.2275 c=10.1627 alpha=90.00 beta=90.00 gamma=109.52
Last column: nearest neighbours and their distance in Å.
Sites, in units of the cell vectors:
1 Co 0.3707 0.1238 0.8766  8 Co 2.51-2.58, 1 Cu 2.52, 3 Rh 2.55-2.56
2 Co 0.2481 0.7519 0.0031  8 Co 2.50-2.58, 2 Cu 2.51-2.52, 2 Rh 2.56-2.57
3 Co 0.6266 0.8802 0.3728  8 Co 2.50-2.58, 3 Cu 2.51-2.53, 1 Rh 2.56
4 Co 0.0000 0.0000 0.2500  4 Cu 2.52-2.56, 8 Co 2.52
5 Cu 0.0000 0.0000 0.4975  12 Co 2.52-2.57
6 Co 0.1198 0.3734 0.3728  8 Co 2.50-2.58, 3 Cu 2.51-2.53, 1 Rh 2.56
7 Cu 0.0000 0.0000 0.0025  12 Co 2.52-2.57
8 Co 0.6266 0.8802 0.1272  8 Co 2.50-2.58, 3 Cu 2.51-2.53, 1 Rh 2.56
9 Co 0.8762 0.6293 0.8766  8 Co 2.51-2.58, 1 Cu 2.52, 3 Rh 2.55-2.56
10 Co 0.1198 0.3734 0.1272  8 Co 2.50-2.58, 3 Cu 2.51-2.53, 1 Rh 2.56
11 Rh 0.7480 0.2520 0.7500  12 Co 2.52-2.57
12 Co 0.8802 0.6266 0.3728  8 Co 2.50-2.58, 3 Cu 2.51-2.53, 1 Rh 2.56
13 Co 0.0000 0.0000 0.7500  8 Co 2.53, 2 Rh 2.56, 2 Cu 2.57
14 Co 0.6293 0.8762 0.6234  8 Co 2.51-2.58, 1 Cu 2.52, 3 Rh 2.55-2.56
15 Rh 0.2520 0.7480 0.7500  12 Co 2.52-2.57
16 Co 0.8762 0.6293 0.6234  8 Co 2.51-2.58, 1 Cu 2.52, 3 Rh 2.55-2.56
17 Co 0.1238 0.3707 0.8766  8 Co 2.51-2.58, 1 Cu 2.52, 3 Rh 2.55-2.56
18 Co 0.1238 0.3707 0.6234  8 Co 2.51-2.58, 1 Cu 2.52, 3 Rh 2.55-2.56
19 Co 0.7519 0.2481 0.0031  8 Co 2.50-2.58, 2 Cu 2.51-2.52, 2 Rh 2.56-2.57
20 Cu 0.2519 0.7481 0.2500  12 Co 2.51-2.56
21 Co 0.2481 0.7519 0.4969  8 Co 2.50-2.58, 2 Cu 2.51-2.52, 2 Rh 2.56-2.57
22 Cu 0.7481 0.2519 0.2500  12 Co 2.51-2.56
23 Co 0.3707 0.1238 0.6234  8 Co 2.51-2.58, 1 Cu 2.52, 3 Rh 2.55-2.56
24 Co 0.5000 0.5000 0.2500  2 Rh 2.51, 2 Cu 2.52, 8 Co 2.56
25 Co 0.7519 0.2481 0.4969  8 Co 2.50-2.58, 2 Cu 2.51-2.52, 2 Rh 2.56-2.57
26 Rh 0.5000 0.5000 0.0029  12 Co 2.51-2.57
27 Co 0.6293 0.8762 0.8766  8 Co 2.51-2.58, 1 Cu 2.52, 3 Rh 2.55-2.56
28 Co 0.5000 0.5000 0.7500  4 Rh 2.52-2.57, 8 Co 2.56
29 Rh 0.5000 0.5000 0.4971  12 Co 2.51-2.57
30 Co 0.3734 0.1198 0.3728  8 Co 2.50-2.58, 3 Cu 2.51-2.53, 1 Rh 2.56
31 Co 0.3734 0.1198 0.1272  8 Co 2.50-2.58, 3 Cu 2.51-2.53, 1 Rh 2.56
32 Co 0.8802 0.6266 0.1272  8 Co 2.50-2.58, 3 Cu 2.51-2.53, 1 Rh 2.56